# RbNiAsF2 (PBEsol, relaxed)
data_RbNiAsF2
_chemical_formula_sum 'Rb1 Ni1 As1 F2'
_symmetry_space_group_name_H-M 'P 4/m m m'
_symmetry_Int_Tables_number 123
_symmetry_space_group_name_Hall '-P 4 2'
_cell_length_a 4.1636
_cell_length_b 4.1636
_cell_length_c 6.9582
_cell_angle_alpha 90.00
_cell_angle_beta 90.00
_cell_angle_gamma 90.00
loop_
_atom_site_label
_atom_site_fract_x
_atom_site_fract_y
_atom_site_fract_z
Rb1 0.0000 0.0000 0.0000
Ni1 0.5000 0.5000 0.0000
As1 0.0000 0.0000 0.5000
F1 0.0000 0.5000 0.5000
# Crystal system   tetragonal
# Uncorrected formation energy   -0.147 eV per atom
# Raw total energy   -16.9 eV per cell